<P>
{"formula": "Y3CoO6", "functional": "GGA+U", "state": "relaxed", "spacegroup": "R-3 (148)", "lattice_angstrom": [[4.730, 2.731, 3.556], [-4.730, 2.731, 3.556], [0.000, -5.462, 3.556]], "species": ["Y", "Y", "Y", "Y", "Y", "Y", "Co", "Co", "O", "O", "O", "O", "O", "O", "O", "O", "O", "O", "O", "O"], "fractional_positions": [[0.067, 0.579, 0.759], [0.241, 0.933, 0.421], [0.421, 0.241, 0.933], [0.579, 0.759, 0.067], [0.759, 0.067, 0.579], [0.933, 0.421, 0.241], [0.000, 0.000, 0.000], [0.500, 0.500, 0.500], [0.045, 0.912, 0.695], [0.088, 0.305, 0.955], [0.206, 0.572, 0.433], [0.305, 0.955, 0.088], [0.428, 0.567, 0.794], [0.433, 0.206, 0.572], [0.567, 0.794, 0.428], [0.572, 0.433, 0.206], [0.695, 0.045, 0.912], [0.794, 0.428, 0.567], [0.912, 0.695, 0.045], [0.955, 0.088, 0.305]]}

---

<Q>
{"formula": "Y3CoO6", "functional": "GGA+U", "state": "relaxed", "spacegroup": "Cmc2_1 (36)", "lattice_angstrom": [[4.468, -5.590, 0.000], [4.468, 5.590, 0.000], [0.000, 0.000, 5.454]], "species": ["Y", "Y", "Y", "Y", "Y", "Y", "Co", "Co", "O", "O", "O", "O", "O", "O", "O", "O", "O", "O", "O", "O"], "fractional_positions": [[0.102, 0.898, 0.500], [0.195, 0.412, 0.550], [0.412, 0.195, 0.050], [0.588, 0.805, 0.550], [0.805, 0.588, 0.050], [0.898, 0.102, 0.000], [0.313, 0.687, 0.080], [0.687, 0.313, 0.580], [0.080, 0.607, 0.265], [0.144, 0.177, 0.277], [0.177, 0.144, 0.777], [0.285, 0.715, 0.748], [0.393, 0.920, 0.265], [0.458, 0.542, 0.247], [0.542, 0.458, 0.747], [0.607, 0.080, 0.765], [0.715, 0.285, 0.248], [0.823, 0.856, 0.277], [0.856, 0.823, 0.777], [0.920, 0.393, 0.765]]}

---

The structure with the greatest stability is <Q>.

---

<P>
{"formula": "Zn3CoO", "functional": "GGA+U", "state": "relaxed", "spacegroup": "Pm-3m (221)", "lattice_angstrom": [[4.138, 0.000, 0.000], [0.000, 4.138, 0.000], [0.000, 0.000, 4.138]], "species": ["Zn", "Zn", "Zn", "Co", "O"], "fractional_positions": [[0.000, 0.000, 0.500], [0.000, 0.500, 0.000], [0.500, 0.000, 0.000], [0.500, 0.500, 0.500], [0.000, 0.000, 0.000]]}

---

<Q>
{"formula": "Zn3CoO", "functional": "GGA+U", "state": "relaxed", "spacegroup": "Pm-3m (221)", "lattice_angstrom": [[4.564, 0.000, 0.000], [0.000, 4.564, 0.000], [0.000, 0.000, 4.564]], "species": ["Zn", "Zn", "Zn", "Co", "O"], "fractional_positions": [[0.000, 0.000, 0.500], [0.000, 0.500, 0.000], [0.500, 0.000, 0.000], [0.000, 0.000, 0.000], [0.500, 0.500, 0.500]]}

---

The structure with the greatest stability is <P>.

---

<P>
{"formula": "ZnCo2O4", "functional": "GGA+U", "state": "relaxed", "spacegroup": "Cmcm (63)", "lattice_angstrom": [[1.461, -4.806, 0.000], [1.461, 4.806, 0.000], [0.000, 0.000, 9.507]], "species": ["Zn", "Zn", "Co", "Co", "Co", "Co", "O", "O", "O", "O", "O", "O", "O", "O"], "fractional_positions": [[0.106, 0.894, 0.750], [0.894, 0.106, 0.250], [0.366, 0.634, 0.569], [0.366, 0.634, 0.931], [0.634, 0.366, 0.069], [0.634, 0.366, 0.431], [0.000, 0.000, 0.000], [0.000, 0.000, 0.500], [0.273, 0.727, 0.111], [0.273, 0.727, 0.389], [0.458, 0.542, 0.750], [0.542, 0.458, 0.250], [0.727, 0.273, 0.611], [0.727, 0.273, 0.889]]}

---

<Q>
{"formula": "ZnCo2O4", "functional": "GGA+U", "state": "relaxed", "spacegroup": "C2/m (12)", "lattice_angstrom": [[7.313, -1.485, 0.000], [7.313, 1.485, 0.000], [-4.125, 0.000, 7.396]], "species": ["Zn", "Zn", "Co", "Co", "Co", "Co", "O", "O", "O", "O", "O", "O", "O", "O"], "fractional_positions": [[0.180, 0.180, 0.160], [0.820, 0.820, 0.840], [0.163, 0.163, 0.494], [0.429, 0.429, 0.252], [0.571, 0.571, 0.748], [0.837, 0.837, 0.506], [0.018, 0.018, 0.340], [0.314, 0.314, 0.636], [0.338, 0.338, 0.355], [0.365, 0.365, 0.008], [0.635, 0.635, 0.992], [0.662, 0.662, 0.645], [0.686, 0.686, 0.364], [0.982, 0.982, 0.660]]}

---

<R>
{"formula": "ZnCo2O4", "functional": "GGA+U", "state": "relaxed", "spacegroup": "Imma (74)", "lattice_angstrom": [[-2.932, 2.934, 4.144], [2.932, -2.934, 4.144], [2.932, 2.934, -4.144]], "species": ["Zn", "Zn", "Co", "Co", "Co", "Co", "O", "O", "O", "O", "O", "O", "O", "O"], "fractional_positions": [[0.000, 0.000, 0.000], [0.500, 0.000, 0.500], [0.000, 0.000, 0.500], [0.000, 0.500, 0.000], [0.367, 0.617, 0.750], [0.633, 0.383, 0.250], [0.220, 0.746, 0.474], [0.228, 0.254, 0.974], [0.232, 0.227, 0.495], [0.232, 0.737, 0.005], [0.768, 0.263, 0.995], [0.768, 0.773, 0.505], [0.772, 0.746, 0.026], [0.780, 0.254, 0.526]]}

---

<S>
{"formula": "ZnCo2O4", "functional": "GGA+U", "state": "relaxed", "spacegroup": "Pmmn (59)", "lattice_angstrom": [[5.960, 0.000, 0.000], [0.000, 10.254, 0.000], [0.000, 0.000, 4.979]], "species": ["Zn", "Zn", "Zn", "Zn", "Co", "Co", "Co", "Co", "Co", "Co", "Co", "Co", "O", "O", "O", "O", "O", "O", "O", "O", "O", "O", "O", "O", "O", "O", "O", "O"], "fractional_positions": [[0.250, 0.250, 0.019], [0.250, 0.750, 0.639], [0.750, 0.250, 0.361], [0.750, 0.750, 0.981], [0.000, 0.000, 0.500], [0.000, 0.500, 0.500], [0.250, 0.515, 0.997], [0.250, 0.985, 0.997], [0.500, 0.000, 0.500], [0.500, 0.500, 0.500], [0.750, 0.015, 0.003], [0.750, 0.485, 0.003], [0.003, 0.614, 0.809], [0.003, 0.886, 0.809], [0.250, 0.106, 0.723], [0.250, 0.394, 0.723], [0.250, 0.594, 0.352], [0.250, 0.906, 0.352], [0.497, 0.614, 0.809], [0.497, 0.886, 0.809], [0.503, 0.114, 0.191], [0.503, 0.386, 0.191], [0.750, 0.094, 0.648], [0.750, 0.406, 0.648], [0.750, 0.606, 0.277], [0.750, 0.894, 0.277], [0.997, 0.114, 0.191], [0.997, 0.386, 0.191]]}

---

The structure with the greatest stability is <R>.

---

<P>
{"formula": "ZnCo2O4", "functional": "GGA+U", "state": "relaxed", "spacegroup": "Pnma (62)", "lattice_angstrom": [[8.776, 0.000, 0.000], [0.000, 2.823, 0.000], [0.000, 0.000, 10.075]], "species": ["Zn", "Zn", "Zn", "Zn", "Co", "Co", "Co", "Co", "Co", "Co", "Co", "Co", "O", "O", "O", "O", "O", "O", "O", "O", "O", "O", "O", "O", "O", "O", "O", "O"], "fractional_positions": [[0.239, 0.250, 0.164], [0.261, 0.750, 0.664], [0.739, 0.250, 0.336], [0.761, 0.750, 0.836], [0.049, 0.250, 0.383], [0.095, 0.250, 0.904], [0.405, 0.750, 0.404], [0.451, 0.750, 0.883], [0.549, 0.250, 0.117], [0.595, 0.250, 0.596], [0.905, 0.750, 0.096], [0.951, 0.750, 0.617], [0.061, 0.750, 0.784], [0.091, 0.250, 0.568], [0.113, 0.750, 0.041], [0.191, 0.750, 0.336], [0.309, 0.250, 0.836], [0.387, 0.250, 0.541], [0.409, 0.750, 0.068], [0.439, 0.250, 0.284], [0.561, 0.750, 0.716], [0.591, 0.250, 0.932], [0.613, 0.750, 0.459], [0.691, 0.750, 0.164], [0.809, 0.250, 0.664], [0.887, 0.250, 0.959], [0.909, 0.750, 0.432], [0.939, 0.250, 0.216]]}

---

<Q>
{"formula": "ZnCo2O4", "functional": "GGA+U", "state": "relaxed", "spacegroup": "P3m1 (156)", "lattice_angstrom": [[5.823, 0.000, 0.000], [-2.912, 5.043, 0.000], [0.000, 0.000, 14.377]], "species": ["Zn", "Zn", "Zn", "Zn", "Zn", "Zn", "Co", "Co", "Co", "Co", "Co", "Co", "Co", "Co", "Co", "Co", "Co", "Co", "O", "O", "O", "O", "O", "O", "O", "O", "O", "O", "O", "O", "O", "O", "O", "O", "O", "O", "O", "O", "O", "O", "O", "O"], "fractional_positions": [[0.000, 0.000, 0.000], [0.000, 0.000, 0.250], [0.000, 0.000, 0.629], [0.333, 0.667, 0.583], [0.667, 0.333, 0.293], [0.667, 0.333, 0.911], [0.001, 0.500, 0.123], [0.167, 0.334, 0.795], [0.167, 0.833, 0.795], [0.333, 0.667, 0.340], [0.333, 0.667, 0.958], [0.334, 0.167, 0.461], [0.500, 0.500, 0.123], [0.500, 0.999, 0.123], [0.666, 0.833, 0.795], [0.667, 0.333, 0.671], [0.833, 0.167, 0.461], [0.833, 0.666, 0.461], [0.000, 0.000, 0.389], [0.000, 0.000, 0.864], [0.042, 0.521, 0.872], [0.152, 0.304, 0.533], [0.152, 0.848, 0.533], [0.186, 0.372, 0.046], [0.186, 0.814, 0.046], [0.309, 0.154, 0.723], [0.333, 0.667, 0.202], [0.333, 0.667, 0.725], [0.359, 0.180, 0.194], [0.479, 0.521, 0.872], [0.479, 0.958, 0.872], [0.514, 0.027, 0.388], [0.514, 0.486, 0.388], [0.628, 0.814, 0.046], [0.667, 0.333, 0.047], [0.667, 0.333, 0.531], [0.696, 0.848, 0.533], [0.820, 0.180, 0.194], [0.820, 0.641, 0.194], [0.846, 0.154, 0.723], [0.846, 0.691, 0.723], [0.973, 0.486, 0.388]]}

---

<R>
{"formula": "ZnCo2O4", "functional": "GGA+U", "state": "relaxed", "spacegroup": "Fd-3m (227)", "lattice_angstrom": [[0.000, 4.218, 4.218], [4.218, 0.000, 4.218], [4.218, 4.218, 0.000]], "species": ["Zn", "Zn", "Co", "Co", "Co", "Co", "O", "O", "O", "O", "O", "O", "O", "O"], "fractional_positions": [[0.125, 0.125, 0.125], [0.875, 0.875, 0.875], [0.000, 0.500, 0.500], [0.500, 0.000, 0.500], [0.500, 0.500, 0.000], [0.500, 0.500, 0.500], [0.260, 0.260, 0.260], [0.260, 0.260, 0.721], [0.260, 0.721, 0.260], [0.279, 0.740, 0.740], [0.721, 0.260, 0.260], [0.740, 0.279, 0.740], [0.740, 0.740, 0.279], [0.740, 0.740, 0.740]]}

---

The structure with the greatest stability is <Q>.

---

<P>
{"formula": "ZnCo3O", "functional": "GGA+U", "state": "relaxed", "spacegroup": "Pm-3m (221)", "lattice_angstrom": [[3.901, 0.000, 0.000], [0.000, 3.901, 0.000], [0.000, 0.000, 3.901]], "species": ["Zn", "Co", "Co", "Co", "O"], "fractional_positions": [[0.000, 0.000, 0.000], [0.000, 0.500, 0.500], [0.500, 0.000, 0.500], [0.500, 0.500, 0.000], [0.500, 0.500, 0.500]]}

---

<Q>
{"formula": "ZnCo3O", "functional": "GGA+U", "state": "relaxed", "spacegroup": "Pm-3m (221)", "lattice_angstrom": [[4.399, 0.000, 0.000], [0.000, 4.399, 0.000], [0.000, 0.000, 4.399]], "species": ["Zn", "Co", "Co", "Co", "O"], "fractional_positions": [[0.000, 0.000, 0.000], [0.000, 0.000, 0.500], [0.000, 0.500, 0.000], [0.500, 0.000, 0.000], [0.500, 0.500, 0.500]]}

---

The structure with the greatest stability is <P>.

---

<P>
{"formula": "Zn2Co3O8", "functional": "GGA+U", "state": "relaxed", "spacegroup": "C2/m (12)", "lattice_angstrom": [[4.889, -2.827, 0.000], [4.889, 2.827, 0.000], [-1.126, 0.000, 4.766]], "species": ["Zn", "Zn", "Co", "Co", "Co", "O", "O", "O", "O", "O", "O", "O", "O"], "fractional_positions": [[0.211, 0.211, 0.114], [0.789, 0.789, 0.886], [0.247, 0.753, 0.500], [0.500, 0.500, 0.000], [0.753, 0.247, 0.500], [0.101, 0.101, 0.404], [0.162, 0.612, 0.128], [0.388, 0.838, 0.872], [0.400, 0.400, 0.620], [0.600, 0.600, 0.380], [0.612, 0.162, 0.128], [0.838, 0.388, 0.872], [0.899, 0.899, 0.596]]}

---

<Q>
{"formula": "Zn2Co3O8", "functional": "GGA+U", "state": "relaxed", "spacegroup": "P6_3mc (186)", "lattice_angstrom": [[5.715, 0.000, 0.000], [-2.857, 4.949, 0.000], [0.000, 0.000, 9.349]], "species": ["Zn", "Zn", "Zn", "Zn", "Co", "Co", "Co", "Co", "Co", "Co", "O", "O", "O", "O", "O", "O", "O", "O", "O", "O", "O", "O", "O", "O", "O", "O"], "fractional_positions": [[0.333, 0.667, 0.000], [0.333, 0.667, 0.396], [0.667, 0.333, 0.500], [0.667, 0.333, 0.896], [0.164, 0.328, 0.715], [0.164, 0.836, 0.715], [0.328, 0.164, 0.215], [0.672, 0.836, 0.715], [0.836, 0.164, 0.215], [0.836, 0.672, 0.215], [0.000, 0.000, 0.320], [0.000, 0.000, 0.820], [0.038, 0.519, 0.830], [0.157, 0.313, 0.117], [0.157, 0.843, 0.117], [0.313, 0.157, 0.617], [0.333, 0.667, 0.608], [0.481, 0.519, 0.830], [0.481, 0.962, 0.830], [0.519, 0.038, 0.330], [0.519, 0.481, 0.330], [0.667, 0.333, 0.108], [0.687, 0.843, 0.117], [0.843, 0.157, 0.617], [0.843, 0.687, 0.617], [0.962, 0.481, 0.330]]}

---

The structure with the greatest stability is <Q>.